(1)
The following is a PBE calculation of a geometry-optimized LaPmEr structure, from the Alexandria database.

* calculated volume: 34.116 Å³/atom
* energy relative to the lowest polymorph listed for this composition: 0.008 eV/atom
* SG: No. 107
* E: -0.1733 Ha/atom
* ρ: 7.3 g/cm3

a b c (Å): 8.089 8.089 8.089
angles (deg): 153.89 153.89 37.26
Atoms (fractional coordinates):
La1 0.000 0.000 0.000
Pm1 0.672 0.672 0.000
Er1 0.333 0.333 0.000


(2)
The following is a PBE calculation of a geometry-optimized Ho2TlPt9 structure, from the Alexandria database.

* calculated volume: 17.322 Å³/atom
* SG: No. 123
* E: -0.2280 Ha/atom
* ρ: 18.3 g/cm3

a b c (Å): 4.106 4.106 12.329
angles (deg): 90.00 90.00 90.00
Atoms (fractional coordinates):
Ho1 0.000 0.000 0.167
Ho2 0.000 0.000 0.833
Tl1 0.000 0.000 0.500
Pt1 0.000 0.500 0.000
Pt2 0.000 0.500 0.332
Pt3 0.000 0.500 0.668
Pt4 0.500 0.000 0.000
Pt5 0.500 0.000 0.332
Pt6 0.500 0.000 0.668
Pt7 0.500 0.500 0.167
Pt8 0.500 0.500 0.500
Pt9 0.500 0.500 0.833


(3)
The following is a PBE calculation of a geometry-optimized YTi2Pt structure, from the Alexandria database.

* calculated volume: 20.205 Å³/atom
* energy relative to the lowest polymorph listed for this composition: 0.118 eV/atom
* SG: No. 1
* E: -0.2747 Ha/atom
* ρ: 7.8 g/cm3

a b c (Å): 5.516 5.647 5.837
angles (deg): 107.98 104.53 99.35
Atoms (fractional coordinates):
Y1 0.000 0.000 0.000
Y2 0.417 0.078 0.644
Ti1 0.384 0.514 0.441
Ti2 0.437 0.660 0.004
Ti3 0.816 0.822 0.416
Ti4 0.951 0.419 0.617
Pt1 0.580 0.177 0.199
Pt2 0.959 0.517 0.084


Summary of energy of formation from the pure elements in eV per atom
0.031; -0.715; -0.402
(order as listed above)